{"formula": "SrYSi2Mo", "functional": "PBE-GGA", "state": "optimized geometry", "lattice_angstrom": [[4.914, 0.000, 0.000], [0.000, 4.914, 0.000], [0.000, 0.000, 5.182]], "species": ["Sr", "Y", "Si", "Si", "Mo"], "frac_coords": [[0.000, 0.000, 0.000], [0.500, 0.500, 0.000], [0.000, 0.500, 0.500], [0.500, 0.000, 0.500], [0.500, 0.500, 0.500]], "crystal_system": "tetragonal", "e_form_raw_ev_per_atom": 0.12}



{"formula": "EuCdAu5", "functional": "PBE-GGA", "state": "optimized geometry", "lattice_angstrom": [[-3.644, 3.644, 2.763], [3.644, -3.644, 2.763], [3.644, 3.644, -2.763]], "species": ["Eu", "Cd", "Au", "Au", "Au", "Au", "Au"], "frac_coords": [[0.000, 0.000, 0.000], [0.750, 0.250, 0.500], [0.250, 0.750, 0.500], [0.305, 0.305, 0.611], [0.305, 0.695, 0.000], [0.695, 0.305, 0.000], [0.695, 0.695, 0.389]], "crystal_system": "tetragonal", "ef_ev_per_atom": -0.43}



no.,Fermi-level density of states (states/eV per cell)
1,3.1
2,13.6